VASP calculation (PBE) on crystalline SnHgI2N at its relaxed geometry.

Cell lengths 6.3166, 6.3166, 4.0613 Å; angles 90.00, 90.00, 90.00 degrees
With the nearest neighbours (Å) after each atom.
Atoms (fractional coordinates):
1 Sn 0.0000 0.0000 0.0000  8 I 3.75, 2 Sn 4.06
2 Hg 0.5000 0.5000 0.5000  2 N 2.03
3 I 0.0000 0.5000 0.5000  2 Hg 3.16
4 I 0.5000 0.0000 0.5000  2 Hg 3.16
5 N 0.5000 0.5000 0.0000  2 Hg 2.03

Properties
The value obtained for the offset from the most stable computed form is 275 meV per atom. Its total energy is -2.36 eV/atom. As for the uncorrected formation energy: 782 meV/atom. The space group is P4/mmm (123). Its crystal system is tetragonal.